NdPuIr: relaxed, GGA-PBE.

The value obtained for the formation energy is -28.53 kJ per mole of atoms. For the total energy, the calculation gives -28.8 eV/f.u. For the energy above the lowest structure with this stoichiometry, the calculation gives 188.8 meV per atom. The total magnetization is 5.74 μB per formula unit. The calculation puts the density of states at the Fermi level at 15.21 states/eV/cell.

The structure belongs to space group P-1 (No. 2); the cell edges are 3.608, 6.247 and 7.246 Å and the angles 107.88°, 90.03° and 106.74°. The asymmetric unit holds Nd at (0.143, 0.283, 0.077), Pu at (0.138, 0.278, 0.556) and Ir at (0.480, 0.960, 0.261).